Record 1
This record from Alexandria via LeMat-Bulk describes Mn2AlTc after structural relaxation. The functional is PBE.

a = 2.893 Å, b = 2.893 Å, c = 6.087 Å
α = 90.00°, β = 90.00°, γ = 90.00°
Space group P4mm (No. 99)
Inequivalent atoms, fractional coordinates:
Mn 0.000 0.000 0.000 [1 per cell]
Mn 0.500 0.500 0.218 [1 per cell]
Al 0.500 0.500 0.751 [1 per cell]
Tc 0.000 0.000 0.474 [1 per cell]

Output
For the energy of formation, the calculation gives -0.13 eV per atom. As for the size of the total moment: 0.49 μB per formula unit. For the uncorrected energy, the calculation gives -32.96 eV/cell. The value obtained for the density is 7.657 Mg/m³.

Record 2
This record from Alexandria via LeMat-Bulk describes MnAl2Tc after structural relaxation. The functional is PBE.

a = 3.400 Å, b = 3.942 Å, c = 4.212 Å
α = 90.00°, β = 90.00°, γ = 90.00°
Space group Pmmm (No. 47)
Inequivalent atoms, fractional coordinates:
Mn 0.000 0.000 0.000 [1 per cell]
Al 0.000 0.500 0.500 [1 per cell]
Al 0.500 0.500 0.000 [1 per cell]
Tc 0.500 0.000 0.500 [1 per cell]

Output
For the energy of formation, the calculation gives -0.24 eV per atom. As for the size of the total moment: 3.01 μB per formula unit. For the uncorrected energy, the calculation gives -28.00 eV/cell. The value obtained for the density is 6.087 Mg/m³. The distance to the lowest polymorph of the same formula is 68 meV per atom.

Record 3
This record from Alexandria via LeMat-Bulk describes Mn2AlTc after structural relaxation. The functional is PBE.

a = 5.352 Å, b = 7.118 Å, c = 2.781 Å
α = 90.00°, β = 90.00°, γ = 90.00°
Space group Cmmm (No. 65)
Inequivalent atoms, fractional coordinates:
Mn 0.250 0.250 0.000 [4 per cell]
Al 0.000 0.000 0.500 [2 per cell]
Tc 0.000 0.500 0.500 [2 per cell]

Output
For the energy of formation, the calculation gives -0.07 eV per atom. As for the size of the total moment: 4.10 μB per formula unit. For the uncorrected energy, the calculation gives -65.48 eV/cell. The value obtained for the density is 7.363 Mg/m³.

Record 4
This record from Alexandria via LeMat-Bulk describes MnAl2Tc after structural relaxation. The functional is PBE.

a = 2.7844 Å, b = 2.7844 Å, c = 25.4033 Å
α = 90.00°, β = 90.00°, γ = 120.00°
Space group R-3m (No. 166, hexagonal axes)
Inequivalent atoms, fractional coordinates:
Mn 0.0000 0.0000 0.0000 [3 per cell]
Al 0.0000 0.0000 0.2517 [6 per cell]
Tc 0.0000 0.0000 0.5000 [3 per cell]

Output
For the energy of formation, the calculation gives -0.11 eV per atom. As for the size of the total moment: 2.39 μB per formula unit. For the uncorrected energy, the calculation gives -82.44 eV/cell. The value obtained for the density is 6.043 Mg/m³. The distance to the lowest polymorph of the same formula is 198 meV per atom.

Record 5
This record from Alexandria via LeMat-Bulk describes MnAl2Tc after structural relaxation. The functional is PBE.

a = 4.124 Å, b = 4.124 Å, c = 3.277 Å
α = 90.00°, β = 90.00°, γ = 90.00°
Space group P4/mmm (No. 123)
Inequivalent atoms, fractional coordinates:
Mn 0.000 0.000 0.000 [1 per cell]
Al 0.000 0.500 0.500 [2 per cell]
Tc 0.500 0.500 0.000 [1 per cell]

Output
For the energy of formation, the calculation gives -0.31 eV per atom. As for the size of the total moment: 3.34 μB per formula unit. For the uncorrected energy, the calculation gives -28.27 eV/cell. The value obtained for the density is 6.165 Mg/m³. The distance to the lowest polymorph of the same formula is 0 meV per atom.

Record 6
This record from Alexandria via LeMat-Bulk describes Mn2AlTc after structural relaxation. The functional is PBE.

a = 2.6827 Å, b = 2.6827 Å, c = 24.8839 Å
α = 90.00°, β = 90.00°, γ = 120.00°
Space group R3m (No. 160, hexagonal axes)
Inequivalent atoms, fractional coordinates:
Mn 0.0000 0.0000 0.0000 [3 per cell]
Mn 0.0000 0.0000 0.2580 [3 per cell]
Al 0.0000 0.0000 0.7505 [3 per cell]
Tc 0.0000 0.0000 0.5081 [3 per cell]

Output
For the energy of formation, the calculation gives 0.04 eV per atom. As for the size of the total moment: 0.14 μB per formula unit. For the uncorrected energy, the calculation gives -96.83 eV/cell. The value obtained for the density is 7.544 Mg/m³.

> uncorrected energy of number 3 (Mn2AlTc)?

-65.48 eV/cell

> density of number 1 (Mn2AlTc)?

7.657 Mg/m³

Repeat the fifth record exactly.
This record from Alexandria via LeMat-Bulk describes MnAl2Tc after structural relaxation. The functional is PBE.

a = 4.124 Å, b = 4.124 Å, c = 3.277 Å
α = 90.00°, β = 90.00°, γ = 90.00°
Space group P4/mmm (No. 123)
Inequivalent atoms, fractional coordinates:
Mn 0.000 0.000 0.000 [1 per cell]
Al 0.000 0.500 0.500 [2 per cell]
Tc 0.500 0.500 0.000 [1 per cell]

Output
For the energy of formation, the calculation gives -0.31 eV per atom. As for the size of the total moment: 3.34 μB per formula unit. For the uncorrected energy, the calculation gives -28.27 eV/cell. The value obtained for the density is 6.165 Mg/m³. The distance to the lowest polymorph of the same formula is 0 meV per atom.